Entry 1:
{
  "formula": "TiBiP3O12",
  "functional": "SCAN",
  "state": "PBEsol geometry",
  "e_form_raw_ev_per_atom": -2.229,
  "energy_ev_per_cell": -476.96,
  "lattice_angstrom": [[-0.575, -7.574, -3.528], [3.364, -6.659, 3.806], [-5.960, -6.020, 3.952]],
  "species": ["Ti", "Ti", "Bi", "Bi", "P", "P", "P", "P", "P", "P", "O", "O", "O", "O", "O", "O", "O", "O", "O", "O", "O", "O", "O", "O", "O", "O", "O", "O", "O", "O", "O", "O", "O", "O"],
  "frac_coords": [[0.849, 0.849, 0.452], [0.349, 0.349, 0.952], [0.653, 0.653, 0.041], [0.153, 0.153, 0.541], [0.544, 0.241, 0.247], [0.241, 0.968, 0.247], [0.968, 0.544, 0.247], [0.044, 0.468, 0.747], [0.741, 0.044, 0.747], [0.468, 0.741, 0.747], [0.465, 0.796, 0.888], [0.851, 0.465, 0.888], [0.683, 0.041, 0.315], [0.796, 0.851, 0.888], [0.351, 0.296, 0.388], [0.631, 0.386, 0.210], [0.041, 0.961, 0.315], [0.386, 0.773, 0.210], [0.010, 0.643, 0.595], [0.773, 0.631, 0.210], [0.131, 0.273, 0.710], [0.751, 0.010, 0.595], [0.296, 0.965, 0.388], [0.961, 0.683, 0.315], [0.183, 0.461, 0.815], [0.965, 0.351, 0.388], [0.541, 0.183, 0.815], [0.886, 0.131, 0.710], [0.461, 0.541, 0.815], [0.643, 0.751, 0.595], [0.251, 0.143, 0.095], [0.273, 0.886, 0.710], [0.143, 0.510, 0.095], [0.510, 0.251, 0.095]]
}

---

Entry 2:
{
  "formula": "TiBiP2O",
  "functional": "SCAN",
  "state": "PBEsol geometry",
  "e_form_raw_ev_per_atom": 0.683,
  "energy_ev_per_cell": -118.22,
  "lattice_angstrom": [[4.093, 0.000, 0.000], [0.000, 5.109, 0.000], [0.000, 0.000, 5.109]],
  "species": ["P", "P", "Bi", "O", "Ti"],
  "frac_coords": [[0.000, 0.000, 0.500], [0.000, 0.500, 0.000], [0.000, 0.000, 0.000], [0.500, 0.000, 0.000], [0.500, 0.500, 0.500]]
}

---

Entry 3:
{
  "formula": "V3Bi2P6O24",
  "functional": "SCAN",
  "state": "PBEsol geometry",
  "e_form_raw_ev_per_atom": -2.287,
  "energy_ev_per_cell": -501.63,
  "lattice_angstrom": [[-8.176, 1.768, 0.856], [-5.035, -0.024, -6.735], [-5.828, -6.537, -0.870]],
  "species": ["V", "V", "V", "Bi", "Bi", "P", "P", "P", "P", "P", "P", "O", "O", "O", "O", "O", "O", "O", "O", "O", "O", "O", "O", "O", "O", "O", "O", "O", "O", "O", "O", "O", "O", "O", "O"],
  "frac_coords": [[0.656, 0.656, 0.033], [0.856, 0.856, 0.433], [0.343, 0.343, 0.971], [0.013, 0.013, 0.962], [0.497, 0.497, 0.508], [0.269, 0.917, 0.255], [0.917, 0.560, 0.255], [0.560, 0.269, 0.255], [0.479, 0.732, 0.750], [0.039, 0.479, 0.750], [0.732, 0.039, 0.750], [0.101, 0.471, 0.113], [0.471, 0.315, 0.113], [0.315, 0.101, 0.113], [0.062, 0.960, 0.265], [0.399, 0.742, 0.177], [0.301, 0.845, 0.435], [0.960, 0.714, 0.265], [0.742, 0.683, 0.177], [0.683, 0.399, 0.177], [0.632, 0.778, 0.565], [0.312, 0.914, 0.790], [0.025, 0.632, 0.565], [0.845, 0.419, 0.435], [0.714, 0.062, 0.265], [0.419, 0.301, 0.435], [0.400, 0.590, 0.765], [0.245, 0.400, 0.765], [0.983, 0.312, 0.790], [0.778, 0.025, 0.565], [0.590, 0.245, 0.765], [0.914, 0.983, 0.790], [0.614, 0.908, 0.895], [0.584, 0.614, 0.895], [0.908, 0.584, 0.895]]
}

---

Entry 4:
{
  "formula": "BiP2WO",
  "functional": "SCAN",
  "state": "PBEsol geometry",
  "e_form_raw_ev_per_atom": -0.263,
  "energy_ev_per_cell": -176.61,
  "lattice_angstrom": [[3.771, 0.000, 0.000], [0.000, 4.877, 0.000], [0.000, 0.000, 4.877]],
  "species": ["O", "P", "P", "Bi", "W"],
  "frac_coords": [[0.500, 0.000, 0.000], [0.000, 0.000, 0.500], [0.000, 0.500, 0.000], [0.500, 0.500, 0.500], [0.000, 0.000, 0.000]]
}

---

Entry 5:
{
  "formula": "ZrBiP2O",
  "functional": "SCAN",
  "state": "PBEsol geometry",
  "e_form_raw_ev_per_atom": 0.429,
  "energy_ev_per_cell": -134.16,
  "lattice_angstrom": [[-1.368, 1.435, 3.598], [-3.572, -3.593, 0.074], [3.173, -3.104, 2.444]],
  "species": ["O", "P", "P", "Bi", "Zr"],
  "frac_coords": [[0.500, 0.000, 0.000], [0.000, 0.000, 0.500], [0.000, 0.500, 0.000], [0.000, 0.000, 0.000], [0.500, 0.500, 0.500]]
}

---

Entry 6:
{
  "formula": "Bi12Pb4O21",
  "functional": "SCAN",
  "state": "PBEsol geometry",
  "e_form_raw_ev_per_atom": -1.049,
  "energy_ev_per_cell": -1415.74,
  "lattice_angstrom": [[-2.754, -5.750, 3.034], [-1.150, 0.714, -7.235], [12.805, -5.074, -1.874]],
  "species": ["Bi", "Bi", "Bi", "Bi", "Bi", "Bi", "Bi", "Bi", "Bi", "Bi", "Bi", "Bi", "Pb", "Pb", "Pb", "Pb", "O", "O", "O", "O", "O", "O", "O", "O", "O", "O", "O", "O", "O", "O", "O", "O", "O", "O", "O", "O", "O"],
  "frac_coords": [[0.775, 0.013, 0.295], [0.225, 0.987, 0.705], [0.520, 0.801, 0.569], [0.480, 0.199, 0.431], [0.521, 0.754, 0.040], [0.479, 0.246, 0.960], [0.054, 0.269, 0.528], [0.946, 0.731, 0.472], [0.247, 0.011, 0.174], [0.753, 0.989, 0.826], [0.338, 0.573, 0.308], [0.662, 0.427, 0.692], [0.025, 0.298, 0.059], [0.975, 0.702, 0.941], [0.753, 0.490, 0.206], [0.247, 0.510, 0.794], [0.443, 0.835, 0.871], [0.557, 0.165, 0.129], [0.214, 0.749, 0.078], [0.786, 0.251, 0.922], [0.543, 0.662, 0.699], [0.457, 0.338, 0.301], [0.300, 0.517, 0.467], [0.700, 0.483, 0.533], [0.546, 0.655, 0.189], [0.454, 0.345, 0.811], [0.077, 0.075, 0.412], [0.923, 0.925, 0.588], [0.424, 0.931, 0.299], [0.576, 0.069, 0.701], [0.709, 0.546, 0.033], [0.291, 0.454, 0.967], [0.658, 0.769, 0.390], [0.342, 0.231, 0.610], [0.193, 0.742, 0.601], [0.807, 0.258, 0.399], [0.000, 0.000, 0.000]]
}

---

Entry 7:
{
  "formula": "Bi10Pb6O21",
  "functional": "SCAN",
  "state": "PBEsol geometry",
  "e_form_raw_ev_per_atom": -1.126,
  "energy_ev_per_cell": -1412.98,
  "lattice_angstrom": [[7.131, 0.009, -0.019], [-3.512, 6.546, -0.038], [-1.836, -1.745, 13.847]],
  "species": ["Bi", "Bi", "Bi", "Bi", "Bi", "Bi", "Bi", "Bi", "Bi", "Bi", "Pb", "Pb", "Pb", "Pb", "Pb", "Pb", "O", "O", "O", "O", "O", "O", "O", "O", "O", "O", "O", "O", "O", "O", "O", "O", "O", "O", "O", "O", "O"],
  "frac_coords": [[0.338, 0.063, 0.811], [0.525, 0.244, 0.546], [0.936, 0.226, 0.975], [0.516, 0.326, 0.075], [0.758, 0.516, 0.328], [0.242, 0.484, 0.672], [0.484, 0.674, 0.925], [0.064, 0.774, 0.025], [0.475, 0.756, 0.454], [0.662, 0.937, 0.189], [0.272, 0.020, 0.289], [0.804, 0.518, 0.791], [0.969, 0.200, 0.439], [0.031, 0.800, 0.561], [0.196, 0.482, 0.209], [0.728, 0.980, 0.711], [0.310, 0.040, 0.973], [0.482, 0.081, 0.675], [0.403, 0.401, 0.789], [0.663, 0.260, 0.880], [0.715, 0.054, 0.534], [0.470, 0.327, 0.380], [0.554, 0.186, 0.199], [0.812, 0.754, 0.895], [0.210, 0.234, 0.571], [0.099, 0.586, 0.916], [0.000, 0.500, 0.500], [0.901, 0.414, 0.084], [0.790, 0.766, 0.429], [0.188, 0.246, 0.105], [0.446, 0.814, 0.801], [0.530, 0.673, 0.620], [0.285, 0.946, 0.466], [0.337, 0.740, 0.120], [0.597, 0.599, 0.211], [0.518, 0.919, 0.325], [0.690, 0.960, 0.027]]
}

---

Entry 8:
{
  "formula": "Bi12PbO20",
  "functional": "SCAN",
  "state": "PBEsol geometry",
  "e_form_raw_ev_per_atom": -1.102,
  "energy_ev_per_cell": -1179.74,
  "lattice_angstrom": [[8.830, 0.000, 0.000], [-2.943, 8.325, 0.000], [-2.943, -4.163, 7.210]],
  "species": ["Bi", "Bi", "Bi", "Bi", "Bi", "Bi", "Bi", "Bi", "Bi", "Bi", "Bi", "Bi", "Pb", "O", "O", "O", "O", "O", "O", "O", "O", "O", "O", "O", "O", "O", "O", "O", "O", "O", "O", "O", "O"],
  "frac_coords": [[0.161, 0.309, 0.497], [0.188, 0.691, 0.853], [0.812, 0.665, 0.503], [0.497, 0.161, 0.309], [0.147, 0.839, 0.335], [0.335, 0.147, 0.839], [0.665, 0.503, 0.812], [0.309, 0.497, 0.161], [0.691, 0.853, 0.188], [0.853, 0.188, 0.691], [0.839, 0.335, 0.147], [0.503, 0.812, 0.665], [0.000, 0.000, 0.000], [0.624, 0.242, 0.882], [0.640, 0.758, 0.382], [0.000, 0.764, 0.000], [0.236, 0.236, 0.236], [0.242, 0.882, 0.624], [0.382, 0.640, 0.758], [0.618, 0.376, 0.258], [0.376, 0.258, 0.618], [0.627, 0.627, 0.627], [0.882, 0.624, 0.242], [0.118, 0.360, 0.742], [0.742, 0.118, 0.360], [0.000, 0.000, 0.373], [0.000, 0.000, 0.764], [0.758, 0.382, 0.640], [0.764, 0.000, 0.000], [0.000, 0.373, 0.000], [0.373, 0.000, 0.000], [0.360, 0.742, 0.118], [0.258, 0.618, 0.376]]
}

---

Entry 9:
{
  "formula": "Bi12PbO19",
  "functional": "SCAN",
  "state": "PBEsol geometry",
  "e_form_raw_ev_per_atom": -1.115,
  "energy_ev_per_cell": -1172.80,
  "lattice_angstrom": [[8.678, 0.000, 0.000], [-2.893, 8.355, 0.000], [2.893, 4.178, 7.236]],
  "species": ["Bi", "Bi", "Bi", "Bi", "Bi", "Bi", "Bi", "Bi", "Bi", "Bi", "Bi", "Bi", "Pb", "O", "O", "O", "O", "O", "O", "O", "O", "O", "O", "O", "O", "O", "O", "O", "O", "O", "O", "O"],
  "frac_coords": [[0.517, 0.200, 0.648], [0.678, 0.867, 0.831], [0.339, 0.498, 0.809], [0.172, 0.320, 0.523], [0.165, 0.648, 0.151], [0.852, 0.158, 0.320], [0.148, 0.809, 0.693], [0.811, 0.302, 0.867], [0.841, 0.693, 0.498], [0.317, 0.151, 0.200], [0.695, 0.523, 0.158], [0.509, 0.831, 0.302], [0.046, 0.000, 0.000], [0.606, 0.000, 0.000], [0.373, 0.757, 0.880], [0.746, 0.392, 0.372], [0.761, 0.126, 0.616], [0.997, 0.011, 0.767], [0.622, 0.744, 0.613], [0.996, 0.621, 0.001], [0.375, 0.378, 0.621], [0.377, 0.616, 0.258], [0.118, 0.372, 0.236], [0.878, 0.643, 0.744], [0.616, 0.363, 0.757], [0.998, 0.001, 0.378], [0.354, 0.236, 0.392], [0.986, 0.222, 0.011], [0.764, 0.767, 0.222], [0.235, 0.613, 0.643], [0.253, 0.880, 0.363], [0.635, 0.258, 0.126]]
}

---

Entry 10:
{
  "formula": "Sn2BiPbO",
  "functional": "SCAN",
  "state": "PBEsol geometry",
  "e_form_raw_ev_per_atom": 0.274,
  "energy_ev_per_cell": -231.06,
  "lattice_angstrom": [[-1.480, -2.305, 3.139], [0.423, -4.754, -3.292], [5.403, -0.851, 1.922]],
  "species": ["Pb", "Bi", "O", "Sn", "Sn"],
  "frac_coords": [[0.000, 0.000, 0.000], [0.500, 0.500, 0.500], [0.500, 0.000, 0.000], [0.000, 0.000, 0.500], [0.000, 0.500, 0.000]]
}

---

Entry 11:
{
  "formula": "Ti5ZnBi2Pb4O18",
  "functional": "SCAN",
  "state": "PBEsol geometry",
  "e_form_raw_ev_per_atom": -2.298,
  "energy_ev_per_cell": -735.04,
  "lattice_angstrom": [[-1.662, 1.264, -4.966], [1.197, -5.691, 1.073], [-13.316, 0.190, 4.505]],
  "species": ["Ti", "Ti", "Ti", "Ti", "Ti", "Zn", "Bi", "Bi", "Pb", "Pb", "Pb", "Pb", "O", "O", "O", "O", "O", "O", "O", "O", "O", "O", "O", "O", "O", "O", "O", "O", "O", "O"],
  "frac_coords": [[0.656, 0.311, 0.917], [0.989, 0.978, 0.755], [0.322, 0.645, 0.586], [0.652, 0.304, 0.420], [0.324, 0.649, 0.086], [0.015, 0.029, 0.253], [0.349, 0.698, 0.316], [0.699, 0.397, 0.164], [0.012, 0.024, 0.005], [0.338, 0.675, 0.828], [0.671, 0.342, 0.661], [0.001, 0.003, 0.493], [0.792, 0.080, 0.857], [0.785, 0.570, 0.853], [0.287, 0.080, 0.857], [0.120, 0.240, 0.692], [0.123, 0.744, 0.689], [0.621, 0.744, 0.689], [0.455, 0.411, 0.520], [0.452, 0.904, 0.523], [0.956, 0.411, 0.520], [0.770, 0.058, 0.360], [0.769, 0.537, 0.341], [0.288, 0.058, 0.360], [0.126, 0.751, 0.189], [0.157, 0.314, 0.185], [0.625, 0.751, 0.189], [0.469, 0.423, 0.023], [0.461, 0.922, 0.028], [0.953, 0.423, 0.023]]
}

---

Entry 12:
{
  "formula": "V3BiPb3O12",
  "functional": "SCAN",
  "state": "PBEsol geometry",
  "e_form_raw_ev_per_atom": -2.054,
  "energy_ev_per_cell": -944.38,
  "lattice_angstrom": [[-4.192, 2.012, -8.038], [-6.173, -3.716, 5.856], [3.496, 7.771, 3.703]],
  "species": ["V", "V", "V", "V", "V", "V", "Bi", "Bi", "Pb", "Pb", "Pb", "Pb", "Pb", "Pb", "O", "O", "O", "O", "O", "O", "O", "O", "O", "O", "O", "O", "O", "O", "O", "O", "O", "O", "O", "O", "O", "O", "O", "O"],
  "frac_coords": [[0.366, 0.622, 0.744], [0.123, 0.878, 0.256], [0.759, 0.130, 0.380], [0.249, 0.374, 0.126], [0.623, 0.247, 0.874], [0.880, 0.750, 0.620], [0.164, 0.164, 0.666], [0.998, 0.499, 0.334], [0.000, 0.501, 0.848], [0.502, 0.345, 0.502], [0.345, 0.999, 0.002], [0.652, 0.653, 0.152], [0.500, 0.843, 0.498], [0.843, 0.997, 0.998], [0.729, 0.806, 0.644], [0.639, 0.064, 0.839], [0.852, 0.679, 0.411], [0.777, 0.422, 0.085], [0.585, 0.163, 0.356], [0.300, 0.225, 0.161], [0.941, 0.268, 0.589], [0.192, 0.337, 0.915], [0.917, 0.851, 0.190], [0.576, 0.769, 0.915], [0.142, 0.719, 0.307], [0.325, 0.639, 0.556], [0.416, 0.201, 0.846], [0.087, 0.935, 0.764], [0.660, 0.309, 0.731], [0.854, 0.578, 0.659], [0.070, 0.355, 0.154], [0.823, 0.171, 0.236], [0.429, 0.577, 0.269], [0.694, 0.919, 0.341], [0.227, 0.661, 0.810], [0.161, 0.854, 0.085], [0.335, 0.412, 0.693], [0.269, 0.082, 0.444]]
}